Th2NpPa: optimized geometry, PBE.

Computed properties:
- space group = No. 166
- mass density (g/cm3) = 13.6
- final energy (eV per cell) = -105.6
- DFT formation energy (meV per atom) = 522.2
- magnetization (μB/atom) = 1.004

Unit cell a=3.304 b=3.304 c=35.997 alpha=90.00 beta=90.00 gamma=120.00
Atoms (fractional coordinates):
Th: 0.000 0.000 0.087
Th: 0.000 0.000 0.913
Th: 0.333 0.667 0.579
Th: 0.333 0.667 0.754
Th: 0.667 0.333 0.246
Th: 0.667 0.333 0.421
Np: 0.000 0.000 0.500
Np: 0.333 0.667 0.167
Np: 0.667 0.333 0.833
Pa: 0.000 0.000 0.000
Pa: 0.333 0.667 0.667
Pa: 0.667 0.333 0.333